Arrangement i

Material: CaB3F
Method: DFT, GGA-PBE
State: relaxed

Output
space group: Pm-3m, No. 221
ρ: 2.20 g cm⁻³
DOS(E_F): 2.73 states/eV/cell
magnetic moment: 0.00 Bohr magnetons per cell

a b c (Å): 4.1049 4.1049 4.1049
angles (deg): 90.00 90.00 90.00
Sites, in units of the cell vectors:
Ca (0.0000, 0.0000, 0.0000)
B (0.0000, 0.5000, 0.5000)
B (0.5000, 0.0000, 0.5000)
B (0.5000, 0.5000, 0.0000)
F (0.5000, 0.5000, 0.5000)



Arrangement ii

Material: CaB3F
Method: DFT, GGA-PBE
State: relaxed

Output
space group: Pm-3m, No. 221
ρ: 1.07 g cm⁻³
DOS(E_F): 3.98 states/eV/cell
magnetic moment: 3.39 Bohr magnetons per cell

a b c (Å): 5.2098 5.2098 5.2098
angles (deg): 90.00 90.00 90.00
Sites, in units of the cell vectors:
Ca (0.0000, 0.0000, 0.0000)
B (0.0000, 0.0000, 0.5000)
B (0.0000, 0.5000, 0.0000)
B (0.5000, 0.0000, 0.0000)
F (0.5000, 0.5000, 0.5000)



arrangement i wins, 104.5 kJ/mol of atoms ahead of the next structure.



Arrangement i

Material: CaB2F
Method: DFT, GGA-PBE
State: relaxed

Output
space group: Fm-3m, No. 225
ρ: 2.29 g cm⁻³
DOS(E_F): 4.95 states/eV/cell
magnetic moment: 0.00 Bohr magnetons per cell

a b c (Å): 4.3559 4.3559 4.3559
angles (deg): 60.00 60.00 60.00
Sites, in units of the cell vectors:
Ca (0.0000, 0.0000, 0.0000)
B (0.2500, 0.2500, 0.2500)
B (0.7500, 0.7500, 0.7500)
F (0.5000, 0.5000, 0.5000)



Arrangement ii

Material: CaB2F
Method: DFT, GGA-PBE
State: relaxed

Output
space group: I4_1/amd, No. 141
ρ: 2.36 g cm⁻³
DOS(E_F): 2.44 states/eV/cell
magnetic moment: 0.00 Bohr magnetons per cell

a b c (Å): 11.2485 11.2485 11.2485
angles (deg): 163.58 163.58 23.30
Sites, in units of the cell vectors:
Ca (0.3750, 0.6250, 0.7500)
Ca (0.6250, 0.3750, 0.2500)
B (0.0000, 0.0000, 0.0000)
B (0.0000, 0.0000, 0.5000)
B (0.0000, 0.5000, 0.0000)
B (0.5000, 0.0000, 0.5000)
F (0.1250, 0.8750, 0.2500)
F (0.8750, 0.1250, 0.7500)



arrangement ii wins, 193.6 kJ/mol of atoms ahead of the next structure.



Arrangement i

Material: CaBF2
Method: DFT, GGA-PBE
State: relaxed

Output
space group: Fm-3m, No. 225
ρ: 2.78 g cm⁻³
DOS(E_F): 1.98 states/eV/cell
magnetic moment: 0.98 Bohr magnetons per cell

a b c (Å): 4.2206 4.2206 4.2206
angles (deg): 60.00 60.00 60.00
Sites, in units of the cell vectors:
Ca (0.0000, 0.0000, 0.0000)
B (0.5000, 0.5000, 0.5000)
F (0.2500, 0.2500, 0.2500)
F (0.7500, 0.7500, 0.7500)



Arrangement ii

Material: CaBF2
Method: DFT, GGA-PBE
State: relaxed

Output
space group: I-42d, No. 122
ρ: 1.51 g cm⁻³
DOS(E_F): 1.41 states/eV/cell
magnetic moment: 2.02 Bohr magnetons per cell

a b c (Å): 6.7825 6.7825 6.7825
angles (deg): 126.50 126.50 79.06
Sites, in units of the cell vectors:
Ca (0.0000, 0.0000, 0.0000)
Ca (0.7500, 0.2500, 0.5000)
B (0.2500, 0.7500, 0.5000)
B (0.5000, 0.5000, 0.0000)
F (0.0001, 0.6250, 0.8751)
F (0.3750, 0.2501, 0.3751)
F (0.7499, 0.1250, 0.1249)
F (0.8750, 0.9999, 0.6249)



arrangement ii wins, 8.7 kJ/mol of atoms ahead of the next structure.